[1]
Density functional theory data (PBE) for a relaxed TaTlClO3 crystal.

Size of the total moment   0.0 μB/f.u.
Fermi-level density of states   1.540 states/eV/f.u.
Formation energy from raw total energies   -1.7358 eV/atom
E   -82.71 eV/cell

a = 5.536 Å, b = 4.704 Å, c = 10.058 Å
α = 76.48°, β = 87.64°, γ = 79.87°
Fractional coordinates of all 12 atoms:
1 Ta 0.750 0.028 0.943
2 Ta 0.250 0.972 0.057
3 Tl 0.250 0.324 0.351
4 Tl 0.750 0.676 0.649
5 Cl 0.250 0.696 0.608
6 Cl 0.750 0.304 0.392
7 O 0.489 0.780 0.949
8 O 0.011 0.271 0.949
9 O 0.750 0.126 0.749
10 O 0.511 0.220 0.051
11 O 0.989 0.729 0.051
12 O 0.250 0.874 0.251

[2]
Density functional theory data (PBE) for a relaxed TmTaClO4 crystal.

Size of the total moment   0.0 μB/f.u.
Fermi-level density of states   0.000 states/eV/f.u.
Formation energy from raw total energies   -2.6433 eV/atom
E   -113.01 eV/cell

a = 6.772 Å, b = 6.772 Å, c = 6.965 Å
α = 77.32°, β = 77.32°, γ = 59.36°
Fractional coordinates of all 14 atoms:
1 Tm 0.286 0.286 0.857
2 Tm 0.714 0.714 0.143
3 Ta 0.638 0.638 0.726
4 Ta 0.362 0.362 0.274
5 Cl 0.022 0.022 0.129
6 Cl 0.978 0.978 0.871
7 O 0.295 0.295 0.543
8 O 0.705 0.705 0.457
9 O 0.098 0.510 0.142
10 O 0.526 0.526 0.218
11 O 0.490 0.902 0.858
12 O 0.510 0.098 0.142
13 O 0.474 0.474 0.782
14 O 0.902 0.490 0.858

[3]
Density functional theory data (PBE) for a relaxed UTaClO4 crystal.

Size of the total moment   2.0 μB/f.u.
Fermi-level density of states   5.931 states/eV/f.u.
Formation energy from raw total energies   -2.7167 eV/atom
E   -127.67 eV/cell

a = 6.516 Å, b = 6.516 Å, c = 6.884 Å
α = 73.15°, β = 73.15°, γ = 68.63°
Fractional coordinates of all 14 atoms:
1 U 0.230 0.230 0.866
2 U 0.770 0.770 0.134
3 Ta 0.630 0.630 0.760
4 Ta 0.370 0.370 0.240
5 Cl 0.001 0.001 0.237
6 Cl 0.999 0.999 0.763
7 O 0.318 0.318 0.527
8 O 0.682 0.682 0.473
9 O 0.084 0.487 0.171
10 O 0.558 0.558 0.145
11 O 0.513 0.916 0.829
12 O 0.487 0.084 0.171
13 O 0.442 0.442 0.855
14 O 0.916 0.513 0.829